(1)
NaMgRe3 | PBE-GGA | relaxed

Summary:
Relative energy among the computed polymorphs ... 0.245 eV/atom
Formation enthalpy at 0 K ... 1401.1 kJ/mol of formula units

Unit cell a=4.5427 b=4.5427 c=4.5427 alpha=90.00 beta=90.00 gamma=90.00
Last column: nearest neighbours and their distance in Å.
Atoms (fractional coordinates):
Na (0.0000, 0.0000, 0.0000)  6 Re 2.27
Mg (0.5000, 0.5000, 0.5000)  12 Re 3.21
Re (0.0000, 0.0000, 0.5000)  2 Na 2.27
Re (0.0000, 0.5000, 0.0000)  2 Na 2.27
Re (0.5000, 0.0000, 0.0000)  2 Na 2.27

***

(2)
KSr2Be | PBE-GGA | relaxed

Summary:
Formation enthalpy at 0 K ... 164.1 kJ/mol of formula units

Unit cell a=4.5431 b=4.3243 c=9.8281 alpha=90.00 beta=103.29 gamma=90.00
Last column: nearest neighbours and their distance in Å.
Atoms (fractional coordinates):
K (0.0000, 0.0000, 0.0000)  2 Be 3.66
Sr (0.3203, 0.5000, 0.6426)  1 Be 3.19
Sr (0.6802, 0.0000, 0.3599)  4 Be 3.17-3.18
Be (0.1557, 0.5000, 0.3094)  5 Sr 3.17-3.19

***

(3)
NdMgGa2 | PBE-GGA | relaxed

Summary:
Formation enthalpy at 0 K ... -166.1 kJ/mol of formula units

Unit cell a=4.5075 b=4.5075 c=15.6543 alpha=90.00 beta=90.00 gamma=120.00
Last column: nearest neighbours and their distance in Å.
Atoms (fractional coordinates):
Nd (0.0000, 0.0000, 0.0000)  8 Ga 3.14-3.46
Nd (0.3333, 0.6667, 0.6667)  8 Ga 3.14-3.46
Nd (0.6667, 0.3333, 0.3333)  8 Ga 3.14-3.46
Mg (0.0000, 0.0000, 0.5000)  6 Ga 2.74
Mg (0.3333, 0.6667, 0.1667)  6 Ga 2.74
Mg (0.6667, 0.3333, 0.8333)  6 Ga 2.74
Ga (0.0000, 0.0000, 0.2207)  3 Mg 2.74
Ga (0.0000, 0.0000, 0.7793)  3 Mg 2.74
Ga (0.3333, 0.6667, 0.4459)  3 Mg 2.74
Ga (0.3333, 0.6667, 0.8874)  3 Mg 2.74
Ga (0.6667, 0.3333, 0.1126)  3 Mg 2.74
Ga (0.6667, 0.3333, 0.5541)  3 Mg 2.74

***

(4)
Ce2Zn10Ag | PBE-GGA | relaxed

Summary:
Formation enthalpy at 0 K ... -164.1 kJ/mol of formula units

Unit cell a=5.8037 b=7.4723 c=11.5967 alpha=89.99 beta=90.00 gamma=72.65
Last column: nearest neighbours and their distance in Å.
Atoms (fractional coordinates):
Ce (0.2129, 0.3128, 0.1089)  12 Zn 3.03-3.36, 1 Ag 3.21
Ce (0.2868, 0.1874, 0.6091)  12 Zn 3.03-3.37, 1 Ag 3.21
Ce (0.7132, 0.8126, 0.3909)  12 Zn 3.03-3.37, 1 Ag 3.21
Ce (0.7871, 0.6872, 0.8911)  12 Zn 3.03-3.36, 1 Ag 3.21
Zn (0.0413, 0.6173, 0.6448)  4 Zn 2.64-2.68
Zn (0.0587, 0.2610, 0.8499)  5 Zn 2.54-2.84, 1 Ag 2.71
Zn (0.1519, 0.0158, 0.3167)  7 Zn 2.56-2.82
Zn (0.1933, 0.8414, 0.5087)  6 Zn 2.56-2.82, 1 Ag 2.64
Zn (0.2371, 0.8704, 0.8050)  5 Zn 2.54-2.84, 1 Ag 2.67
Zn (0.2634, 0.6292, 0.3047)  5 Zn 2.54-2.84, 1 Ag 2.68
Zn (0.3069, 0.6588, 0.0089)  6 Zn 2.55-2.82, 1 Ag 2.64
Zn (0.3481, 0.4836, 0.8173)  7 Zn 2.55-2.82
Zn (0.4410, 0.2389, 0.3498)  5 Zn 2.54-2.84, 1 Ag 2.71
Zn (0.4595, 0.8834, 0.1442)  4 Zn 2.64-2.68
Zn (0.5405, 0.1166, 0.8558)  4 Zn 2.64-2.68
Zn (0.5590, 0.7611, 0.6502)  5 Zn 2.54-2.84, 1 Ag 2.71
Zn (0.6519, 0.5164, 0.1827)  7 Zn 2.55-2.82
Zn (0.6931, 0.3412, 0.9911)  6 Zn 2.55-2.82, 1 Ag 2.64
Zn (0.7366, 0.3708, 0.6953)  5 Zn 2.54-2.84, 1 Ag 2.68
Zn (0.7629, 0.1296, 0.1950)  5 Zn 2.54-2.84, 1 Ag 2.67
Zn (0.8067, 0.1586, 0.4913)  6 Zn 2.56-2.82, 1 Ag 2.64
Zn (0.8481, 0.9842, 0.6833)  7 Zn 2.56-2.82
Zn (0.9413, 0.7390, 0.1501)  5 Zn 2.54-2.84, 1 Ag 2.71
Zn (0.9587, 0.3827, 0.3552)  4 Zn 2.64-2.68
Ag (0.0000, 0.0000, 0.0000)  6 Zn 2.64-2.71
Ag (0.5000, 0.5000, 0.5000)  6 Zn 2.64-2.71

***

(5)
Na3In3Hg4 | PBE-GGA | relaxed

Summary:
Formation enthalpy at 0 K ... -140.1 kJ/mol of formula units

Unit cell a=4.3263 b=7.8742 c=7.8742 alpha=91.14 beta=90.00 gamma=90.00
Last column: nearest neighbours and their distance in Å.
Atoms (fractional coordinates):
Na (0.0000, 0.0000, 0.0000)  6 Hg 3.13-3.22
Na (0.0000, 0.1777, 0.5086)  6 Hg 3.11-3.24
Na (0.0000, 0.5086, 0.1777)  6 Hg 3.11-3.24
In (0.0000, 0.6738, 0.6738)  6 Hg 3.04-3.18
In (0.5000, 0.3323, 0.8400)  4 Hg 3.03-3.08
In (0.5000, 0.8400, 0.3323)  4 Hg 3.03-3.08
Hg (0.5000, 0.2047, 0.2047)  1 Hg 3.04, 2 In 3.06, 6 Na 3.13-3.24
Hg (0.5000, 0.4802, 0.4802)  1 Hg 3.04, 4 In 3.04-3.08, 4 Na 3.23
Hg (0.5000, 0.6973, 0.9697)  4 In 3.03-3.18, 1 Hg 3.06, 4 Na 3.11-3.22
Hg (0.5000, 0.9697, 0.6973)  4 In 3.03-3.18, 1 Hg 3.06, 4 Na 3.11-3.22

***

(6)
Er2ScBi | PBE-GGA | relaxed

Summary:
Relative energy among the computed polymorphs ... 0.193 eV/atom
Formation enthalpy at 0 K ... -62.3 kJ/mol of formula units

Unit cell a=3.5417 b=3.5417 c=31.7934 alpha=90.00 beta=90.00 gamma=120.00
Last column: nearest neighbours and their distance in Å.
Atoms (fractional coordinates):
Er (0.0000, 0.0000, 0.2502)  3 Sc 3.34, 3 Bi 3.35, 6 Er 3.54
Er (0.0000, 0.0000, 0.7498)  3 Sc 3.34, 3 Bi 3.35, 6 Er 3.54
Er (0.3333, 0.6667, 0.4164)  3 Sc 3.34, 3 Bi 3.35, 6 Er 3.54
Er (0.3333, 0.6667, 0.9169)  3 Sc 3.34, 3 Bi 3.35, 6 Er 3.54
Er (0.6667, 0.3333, 0.0831)  3 Sc 3.34, 3 Bi 3.35, 6 Er 3.54
Er (0.6667, 0.3333, 0.5836)  3 Sc 3.34, 3 Bi 3.35, 6 Er 3.54
Sc (0.0000, 0.0000, 0.0000)  6 Er 3.34, 6 Sc 3.54
Sc (0.3333, 0.6667, 0.6667)  6 Er 3.34, 6 Sc 3.54
Sc (0.6667, 0.3333, 0.3333)  6 Er 3.34, 6 Sc 3.54
Bi (0.0000, 0.0000, 0.5000)  6 Er 3.35, 6 Bi 3.54
Bi (0.3333, 0.6667, 0.1667)  6 Er 3.35, 6 Bi 3.54
Bi (0.6667, 0.3333, 0.8333)  6 Er 3.35, 6 Bi 3.54

***

(7)
Fe2SbBr | PBE-GGA | relaxed

Summary:
Relative energy among the computed polymorphs ... 0.144 eV/atom

Unit cell a=8.8943 b=3.2363 c=7.3570 alpha=90.00 beta=125.11 gamma=90.00
Last column: nearest neighbours and their distance in Å.
Atoms (fractional coordinates):
Fe (0.2070, 0.0000, 0.3534)  2 Fe 2.44, 3 Sb 2.61-2.71, 2 Br 2.69
Fe (0.2930, 0.5000, 0.6466)  2 Fe 2.44, 3 Sb 2.61-2.71, 2 Br 2.69
Fe (0.7070, 0.5000, 0.3534)  2 Fe 2.44, 3 Sb 2.61-2.71, 2 Br 2.69
Fe (0.7930, 0.0000, 0.6466)  2 Fe 2.44, 3 Sb 2.61-2.71, 2 Br 2.69
Sb (0.0000, 0.0000, 0.5000)  6 Fe 2.61-2.71
Sb (0.5000, 0.5000, 0.5000)  6 Fe 2.61-2.71
Br (0.0000, 0.5000, 0.0000)  4 Fe 2.69
Br (0.5000, 0.0000, 0.0000)  4 Fe 2.69

***

(8)
LiHfBe3 | PBE-GGA | relaxed

Summary:
Relative energy among the computed polymorphs ... 0.000 eV/atom
Formation enthalpy at 0 K ... 169.4 kJ/mol of formula units

Unit cell a=3.8777 b=3.8777 c=3.8777 alpha=90.00 beta=90.00 gamma=90.00
Last column: nearest neighbours and their distance in Å.
Atoms (fractional coordinates):
Li (0.0000, 0.0000, 0.0000)  6 Be 1.94
Hf (0.5000, 0.5000, 0.5000)  12 Be 2.74
Be (0.0000, 0.0000, 0.5000)  2 Li 1.94
Be (0.0000, 0.5000, 0.0000)  2 Li 1.94
Be (0.5000, 0.0000, 0.0000)  2 Li 1.94

***

E, respectively: -5.15, -1.62, -3.53, -2.24, -1.48, -5.00, -5.47, -4.26 eV per atom.